A plane-wave DFT calculation with PBE-GGA was carried out for a relaxed LaTi3N crystal.

Calculated values
Distance to the lowest polymorph of the same formula: 0.000 eV per atom
Uncorrected energy: -0.5685 Ry/atom
Energy relative to the elements, uncorrected: -0.35 eV/atom
Space-group type: No. 221

Cell lengths 4.3527, 4.3527, 4.3527 Å; angles 90.00, 90.00, 90.00 degrees
Positions (direct):
Ti1 0.5000 0.0000 0.0000
Ti2 0.0000 0.5000 0.0000
Ti3 0.0000 0.0000 0.5000
N1 0.0000 0.0000 0.0000
La1 0.5000 0.5000 0.5000